(1)
This record from Alexandria describes crystalline CeBC2 at its relaxed geometry. The functional is PBE.

Cell: 5.3883 5.3883 5.6712 Å, 90.00 90.00 148.00°
Sites, in units of the cell vectors:
1 Ce 0.1270 0.8730 0.7500
2 Ce 0.8730 0.1270 0.2500
3 B 0.1578 0.8422 0.2500
4 B 0.8422 0.1578 0.7500
5 C 0.3843 0.6157 0.6214
6 C 0.3843 0.6157 0.8786
7 C 0.6157 0.3843 0.1214
8 C 0.6157 0.3843 0.3786

Summary:
SG = Cmcm (63)
energy of formation = 295 meV/atom

(2)
This record from Alexandria describes crystalline Er7Tm12Sn at its relaxed geometry. The functional is PBE.

Cell: 8.5217 8.5217 8.5217 Å, 88.50 88.50 88.50°
Sites, in units of the cell vectors:
1 Er 0.0000 0.0000 0.0000
2 Er 0.1153 0.4396 0.3545
3 Er 0.3545 0.1153 0.4396
4 Er 0.4396 0.3545 0.1153
5 Er 0.5604 0.6455 0.8847
6 Er 0.6455 0.8847 0.5604
7 Er 0.8847 0.5604 0.6455
8 Tm 0.0019 0.1175 0.6441
9 Tm 0.1175 0.6441 0.0019
10 Tm 0.2390 0.7543 0.6299
11 Tm 0.2457 0.3701 0.7610
12 Tm 0.3559 0.9981 0.8825
13 Tm 0.3701 0.7610 0.2457
14 Tm 0.6299 0.2390 0.7543
15 Tm 0.6441 0.0019 0.1175
16 Tm 0.7543 0.6299 0.2390
17 Tm 0.7610 0.2457 0.3701
18 Tm 0.8825 0.3559 0.9981
19 Tm 0.9981 0.8825 0.3559
20 Sn 0.5000 0.5000 0.5000

Summary:
SG = R-3 (148)
energy of formation = 143 meV/atom

(3)
This record from Alexandria describes crystalline TbZrAlTl at its relaxed geometry. The functional is PBE.

Cell: 5.1025 5.1025 5.1025 Å, 60.00 60.00 60.00°
Sites, in units of the cell vectors:
1 Tb 0.0000 0.0000 0.0000
2 Zr 0.5000 0.5000 0.5000
3 Al 0.2500 0.2500 0.2500
4 Tl 0.7500 0.7500 0.7500

Summary:
SG = F-43m (216)
energy of formation = -161 meV/atom

(4)
This record from Alexandria describes crystalline BaMnInP at its relaxed geometry. The functional is PBE.

Cell: 4.0602 4.0602 12.1918 Å, 90.00 90.00 90.00°
Sites, in units of the cell vectors:
1 Ba 0.2500 0.2500 0.2288
2 Ba 0.7500 0.7500 0.7712
3 Mn 0.2500 0.7500 0.0000
4 Mn 0.7500 0.2500 0.0000
5 In 0.2500 0.7500 0.5000
6 In 0.7500 0.2500 0.5000
7 P 0.2500 0.2500 0.9141
8 P 0.7500 0.7500 0.0859

Summary:
SG = P4/nmm (129)
energy of formation = -503 meV/atom

> energy of formation of number 1 (CeBC2)?

295 meV/atom

> Look up the energy of formation of the first one.

295 meV/atom